# Na2CoO3

A relaxed structure of Na2CoO3 (PBE+U, Alexandria).

Polymorph energy (0 for the lowest one) in meV/atom: 33
N(E_F) in states/eV/atom: 0.020
Total energy in eV per atom: -4.928
Volume in Å³/cell: 264.9

abc: 5.438 6.969 7.167
angles: 80.11 83.27 84.31
Atoms (fractional coordinates):
Na1 0.000 0.000 0.000
Na2 0.001 0.307 0.675
Na3 0.244 0.900 0.585
Na4 0.493 0.495 0.503
Na5 0.499 0.152 0.840
Na6 0.512 0.804 0.174
Na7 0.756 0.403 0.089
Na8 0.999 0.654 0.335
Co1 0.251 0.572 0.915
Co2 0.270 0.229 0.257
Co3 0.728 0.076 0.429
Co4 0.761 0.735 0.751
O1 0.063 0.620 0.663
O2 0.154 0.997 0.277
O3 0.167 0.315 0.978
O4 0.342 0.487 0.210
O5 0.380 0.193 0.507
O6 0.410 0.804 0.873
O7 0.592 0.495 0.801
O8 0.626 0.105 0.183
O9 0.661 0.810 0.487
O10 0.833 0.996 0.696
O11 0.861 0.304 0.394
O12 0.919 0.692 0.990